Entry from the Alexandria database: Be2TeP after structural relaxation (PBE).

Unit cell a=2.932 b=3.195 c=6.853 alpha=90.00 beta=90.00 gamma=90.00
Positions (direct):
Be  0.000  0.000  0.156
Be  0.000  0.000  0.844
Te  0.500  0.500  0.500
P  0.500  0.500  0.000

## Properties
mass density	4.568	Mg/m³
total DFT energy (no corrections)	-3.43	eV per atom
V	16.048	A^3/atom
spin magnetization	0.00	Bohr magnetons per cell
formation energy without anion corrections	0.569	eV per atom
E above lowest polymorph	698.9	meV/atom
space group	Pmmm, No. 47